No. 1
Entry from the Alexandria database: a geometry-optimized TaCoS2N structure (GGA-PBE).

Values from the calculation:
Formation energy (no corrections): 0.4467 eV/atom
Energy relative to the lowest polymorph listed for this composition: 122 meV/atom

Structure (POSCAR):
```
TaCoS2N
1.0
4.5968 0.0000 0.0000
0.0000 4.5968 0.0000
0.0000 0.0000 3.3456
Ta Co S N
1 1 2 1
Cartesian
0.0000 0.0000 0.0000
2.2984 2.2984 1.6728
0.0000 2.2984 1.6728
2.2984 0.0000 1.6728
2.2984 2.2984 0.0000
```

=====

No. 2
Entry from the Alexandria database: a geometry-optimized CoTcSN2 structure (GGA-PBE).

Values from the calculation:
Formation energy (no corrections): 0.8222 eV/atom
Energy relative to the lowest polymorph listed for this composition: 0 meV/atom

Structure (POSCAR):
```
CoTcSN2
1.0
3.7595 0.0000 0.0000
0.0000 3.7595 0.0000
0.0000 0.0000 5.1791
Co Tc S N
1 1 1 2
Cartesian
0.0000 0.0000 0.0000
1.8798 1.8798 2.5895
1.8798 1.8798 0.0000
0.0000 1.8798 2.5895
1.8798 0.0000 2.5895
```

=====

No. 3
Entry from the Alexandria database: a geometry-optimized CoTcSN2 structure (GGA-PBE).

Values from the calculation:
Formation energy (no corrections): 1.1983 eV/atom
Energy relative to the lowest polymorph listed for this composition: 376 meV/atom

Structure (POSCAR):
```
CoTcSN2
1.0
3.6359 0.0000 0.0000
0.0000 3.6359 0.0000
0.0000 0.0000 4.5847
Co Tc S N
1 1 1 2
Cartesian
0.0000 0.0000 0.0000
1.8179 1.8179 2.2924
0.0000 0.0000 2.2924
0.0000 1.8179 0.0000
1.8179 0.0000 0.0000
```

=====

No. 4
Entry from the Alexandria database: a geometry-optimized CoTcS2N structure (GGA-PBE).

Values from the calculation:
Formation energy (no corrections): 0.7281 eV/atom
Energy relative to the lowest polymorph listed for this composition: 54 meV/atom

Structure (POSCAR):
```
CoTcS2N
1.0
4.6294 0.0000 0.0000
0.0000 4.6294 0.0000
0.0000 0.0000 3.3286
Co Tc S N
1 1 2 1
Cartesian
0.0000 0.0000 0.0000
2.3147 2.3147 1.6643
0.0000 2.3147 0.0000
2.3147 0.0000 0.0000
0.0000 0.0000 1.6643
```